Here is a geometry-optimized TbPr2HoO6 structure from Alexandria. Energies are from PBE.

Raw formation energy in eV/atom: -3.409
Uncorrected energy in eV/atom: -8.261
Crystal system: trigonal
DOS at the Fermi energy in states/eV per cell: 0.0

a = 5.992 Å, b = 5.992 Å, c = 6.170 Å
α = 60.95°, β = 60.95°, γ = 60.00°
Positions (direct):
O: 0.942 0.609 0.260
O: 0.439 0.687 0.762
O: 0.687 0.112 0.762
O: 0.609 0.189 0.260
O: 0.189 0.942 0.260
O: 0.112 0.439 0.762
Ho: 0.310 0.310 0.069
Pr: 0.032 0.032 0.905
Pr: 0.532 0.532 0.403
Tb: 0.810 0.810 0.571